No. 1
VASP calculation (GGA-PBE) on a relaxed CsPPbO4 crystal.

Calculated values
Formation energy from raw total energies in meV per atom: -2029
Density in g cm⁻³: 5.10
Relative energy among the computed polymorphs in eV/atom: 0.0097
D(E_F) in states/eV/cell: 0.000

a = 6.2919 Å, b = 5.9192 Å, c = 8.0628 Å
α = 90.00°, β = 109.24°, γ = 90.00°
Atoms (fractional coordinates):
Cs  0.2026  0.2500  0.4526
Cs  0.7974  0.7500  0.5474
P  0.2488  0.7500  0.1739
P  0.7512  0.2500  0.8261
Pb  0.2716  0.2500  0.9815
Pb  0.7284  0.7500  0.0185
O  0.0888  0.7500  0.9767
O  0.1030  0.7500  0.2961
O  0.4039  0.5359  0.2069
O  0.4039  0.9641  0.2069
O  0.5961  0.0359  0.7931
O  0.5961  0.4641  0.7931
O  0.8970  0.2500  0.7039
O  0.9112  0.2500  0.0233

No. 2
VASP calculation (GGA-PBE) on a relaxed Nd2DyIr crystal.

Calculated values
Density in g cm⁻³: 9.25
Relative energy among the computed polymorphs in eV/atom: 0.0445
Formation energy in meV/atom: -438
D(E_F) in states/eV/cell: 10.416

a = 6.3611 Å, b = 6.3611 Å, c = 9.6578 Å
α = 90.00°, β = 90.00°, γ = 143.77°
Atoms (fractional coordinates):
Nd  0.1388  0.8612  0.5670
Nd  0.1388  0.8612  0.9330
Nd  0.8612  0.1388  0.0670
Nd  0.8612  0.1388  0.4330
Dy  0.4163  0.5837  0.7500
Dy  0.5837  0.4163  0.2500
Ir  0.2535  0.7465  0.2500
Ir  0.7465  0.2535  0.7500

No. 3
VASP calculation (GGA-PBE) on a relaxed LuPuCdPd crystal.

Calculated values
Density in g cm⁻³: 11.25
Formation energy in meV/atom: -307
D(E_F) in states/eV/cell: 10.403

a = 5.1057 Å, b = 5.1057 Å, c = 5.1057 Å
α = 60.00°, β = 60.00°, γ = 60.00°
Atoms (fractional coordinates):
Lu  0.0000  0.0000  0.0000
Pu  0.5000  0.5000  0.5000
Cd  0.2500  0.2500  0.2500
Pd  0.7500  0.7500  0.7500

No. 4
VASP calculation (GGA-PBE) on a relaxed TmTiOsRu crystal.

Calculated values
Density in g cm⁻³: 12.64
Formation energy in meV/atom: -425
D(E_F) in states/eV/cell: 2.807

a = 4.5530 Å, b = 4.5530 Å, c = 4.5530 Å
α = 60.00°, β = 60.00°, γ = 60.00°
Atoms (fractional coordinates):
Tm  0.0000  0.0000  0.0000
Ti  0.5000  0.5000  0.5000
Os  0.2500  0.2500  0.2500
Ru  0.7500  0.7500  0.7500

No. 5
VASP calculation (GGA-PBE) on a relaxed Cu2Sb2Pb crystal.

Calculated values
Formation energy from raw total energies in meV per atom: 136
Density in g cm⁻³: 8.23
Relative energy among the computed polymorphs in eV/atom: 0.0000
D(E_F) in states/eV/cell: 1.813

a = 6.6710 Å, b = 6.6710 Å, c = 6.6710 Å
α = 141.01°, β = 141.01°, γ = 56.32°
Atoms (fractional coordinates):
Cu  0.2500  0.7500  0.5000
Cu  0.7500  0.2500  0.5000
Sb  0.1284  0.1284  0.0000
Sb  0.8716  0.8716  0.0000
Pb  0.5000  0.5000  0.0000

No. 6
VASP calculation (GGA-PBE) on a relaxed SiBRhAuCS crystal.

Calculated values
Formation energy from raw total energies in meV per atom: 350
Density in g cm⁻³: 7.98
Relative energy among the computed polymorphs in eV/atom: 0.1707
D(E_F) in states/eV/cell: 2.262

a = 2.7805 Å, b = 5.6740 Å, c = 5.7128 Å
α = 64.23°, β = 89.65°, γ = 79.95°
Atoms (fractional coordinates):
Si  0.0000  0.0000  0.0000
B  0.2319  0.4258  0.2702
Rh  0.6529  0.6646  0.9707
Au  0.2111  0.0084  0.4259
C  0.8013  0.3806  0.7881
S  0.2575  0.5071  0.5656

- Which formula does entry 6 have?
  SiBRhAuCS

- What is the D(E_F) in the sixth record?
  2.262 states/eV/cell

- What is the formula in the third record?
  LuPuCdPd